a | Here is a relaxed ZnBSe2 crystal from the Alexandria database. Energies are from PBE-GGA.

a b c (Å): 6.0865 6.0865 5.9010
angles (deg): 58.95 58.95 90.00
Closest atoms and distances in Å follow each position.
Element x y z (fractional)
Se: 0.3750 0.4540 0.7500  2 B 2.10
Se: 0.8750 0.7960 0.7500  2 B 2.10
Se: 0.2040 0.6250 0.2500  2 B 2.10
Se: 0.5460 0.1250 0.2500  2 B 2.10
Zn: 0.7500 0.2500 0.5000  4 Se 2.71
Zn: 0.0000 0.0000 0.0000  4 Se 2.71
B: 0.5000 0.5000 0.0000  4 Se 2.10
B: 0.2500 0.7500 0.5000  4 Se 2.10

Theoretical density: 5199 kg/m³

b | Here is a relaxed ZnBSe2 crystal from the Alexandria database. Energies are from PBE-GGA.

a b c (Å): 7.6108 7.6108 7.6108
angles (deg): 25.67 25.67 25.67
Closest atoms and distances in Å follow each position.
Element x y z (fractional)
B: 0.5000 0.5000 0.5000  6 Se 2.31
Se: 0.1108 0.1108 0.1108  3 B 2.31, 1 Zn 2.44
Se: 0.8892 0.8892 0.8892  3 B 2.31, 1 Zn 2.44
Zn: 0.0000 0.0000 0.0000  2 Se 2.44

Theoretical density: 5336 kg/m³

c | Here is a relaxed ZnBSe2 crystal from the Alexandria database. Energies are from PBE-GGA.

a b c (Å): 6.8777 6.8777 6.8777
angles (deg): 35.32 35.32 35.32
Closest atoms and distances in Å follow each position.
Element x y z (fractional)
Zn: 0.5000 0.5000 0.5000  6 Se 2.78
Se: 0.9050 0.9050 0.9050  1 B 1.84
Se: 0.0950 0.0950 0.0950  1 B 1.84
B: 0.0000 0.0000 0.0000  2 Se 1.84

Theoretical density: 4003 kg/m³

d | Here is a relaxed ZnBSe2 crystal from the Alexandria database. Energies are from PBE-GGA.

a b c (Å): 4.5793 4.5793 4.5793
angles (deg): 60.00 60.00 60.00
Closest atoms and distances in Å follow each position.
Element x y z (fractional)
Zn: 0.5000 0.5000 0.5000  8 Se 2.80
B: 0.0000 0.0000 0.0000  8 Se 2.80
Se: 0.7500 0.7500 0.7500  4 B 2.80, 4 Zn 2.80
Se: 0.2500 0.2500 0.2500  4 Zn 2.80, 4 B 2.80

Theoretical density: 5726 kg/m³

Which is the most stable structure? a is the most stable.

a | Here is a relaxed Zr2B2Se crystal from the Alexandria database. Energies are from PBE-GGA.

a b c (Å): 6.6127 6.6127 3.3427
angles (deg): 90.00 90.00 90.00
Closest atoms and distances in Å follow each position.
Element x y z (fractional)
Zr: 0.8099 0.3099 0.5000  6 B 2.57-2.67
Zr: 0.6901 0.8099 0.5000  6 B 2.57-2.67
Zr: 0.1901 0.6901 0.5000  6 B 2.57-2.67
Zr: 0.3099 0.1901 0.5000  6 B 2.57-2.67
B: 0.5876 0.0876 0.0000  1 B 1.64
B: 0.4124 0.9124 0.0000  1 B 1.64
B: 0.9124 0.5876 0.0000  1 B 1.64
B: 0.0876 0.4124 0.0000  1 B 1.64
Se: 0.0000 0.0000 0.0000  4 B 2.79, 8 Zr 2.93
Se: 0.5000 0.5000 0.0000  4 B 2.79, 8 Zr 2.93

Theoretical density: 6431 kg/m³

b | Here is a relaxed Zr2B2Se crystal from the Alexandria database. Energies are from PBE-GGA.

a b c (Å): 4.5443 4.5443 5.0075
angles (deg): 63.02 63.02 90.00
Closest atoms and distances in Å follow each position.
Element x y z (fractional)
Zr: 0.7500 0.2500 0.5000  4 B 2.54
Zr: 0.2500 0.7500 0.5000  4 B 2.54
Se: 0.0000 0.0000 0.0000  8 Zr 2.97, 10 B 3.05-3.31
B: 0.6024 0.6024 0.7952  1 B 1.57
B: 0.3976 0.3976 0.2048  1 B 1.57

Theoretical density: 5926 kg/m³

Which is the most stable structure? a is the most stable.

a | Here is a relaxed Zr2BSe crystal from the Alexandria database. Energies are from PBE-GGA.

a b c (Å): 4.5598 4.5598 4.5598
angles (deg): 60.00 60.00 60.00
Closest atoms and distances in Å follow each position.
Element x y z (fractional)
Zr: 0.7500 0.7500 0.7500  4 Se 2.79, 4 B 2.79
Zr: 0.2500 0.2500 0.2500  4 Se 2.79, 4 B 2.79
B: 0.0000 0.0000 0.0000  8 Zr 2.79
Se: 0.5000 0.5000 0.5000  8 Zr 2.79

Theoretical density: 6743 kg/m³

b | Here is a relaxed Zr2BSe crystal from the Alexandria database. Energies are from PBE-GGA.

a b c (Å): 3.5877 3.5877 6.7031
angles (deg): 74.48 74.48 60.00
Closest atoms and distances in Å follow each position.
Element x y z (fractional)
Zr: 0.7333 0.7333 0.8000  3 B 2.43
Zr: 0.2667 0.2667 0.2000  3 B 2.43
Se: 0.5000 0.5000 0.5000  6 Zr 2.82
B: 0.0000 0.0000 0.0000  6 Zr 2.43

Theoretical density: 6361 kg/m³

c | Here is a relaxed Zr2BSe crystal from the Alexandria database. Energies are from PBE-GGA.

a b c (Å): 5.7328 5.7328 6.8513
angles (deg): 65.27 65.27 90.00
Closest atoms and distances in Å follow each position.
Element x y z (fractional)
Zr: 0.1873 0.6250 0.2500  2 B 2.26
Zr: 0.3750 0.4373 0.7500  2 B 2.26
Zr: 0.5627 0.1250 0.2500  2 B 2.26
Zr: 0.8750 0.8127 0.7500  2 B 2.26
Se: 0.0000 0.0000 0.0000  4 Zr 2.68
Se: 0.7500 0.2500 0.5000  4 Zr 2.68
B: 0.2500 0.7500 0.5000  4 Zr 2.26
B: 0.5000 0.5000 0.0000  4 Zr 2.26

Theoretical density: 4980 kg/m³

Which is the most stable structure? b is the most stable.

a | Here is a relaxed SiB4 crystal from the Alexandria database. Energies are from PBE-GGA.

a b c (Å): 3.9559 3.9559 3.9559
angles (deg): 90.00 90.00 90.00
Closest atoms and distances in Å follow each position.
Element x y z (fractional)
B: 0.0000 0.5000 0.5000  2 Si 1.98
B: 0.5000 0.5000 0.0000  2 Si 1.98
B: 0.5000 0.0000 0.5000  2 Si 1.98
B: 0.0000 0.0000 0.0000  12 B 2.80
Si: 0.5000 0.5000 0.5000  6 B 1.98

Theoretical density: 1913 kg/m³

b | Here is a relaxed SiB4 crystal from the Alexandria database. Energies are from PBE-GGA.

a b c (Å): 5.4847 5.4847 5.4847
angles (deg): 69.06 69.06 69.06
Closest atoms and distances in Å follow each position.
Element x y z (fractional)
B: 0.3230 0.0143 0.0143  6 B 1.82-1.92
B: 0.1775 0.1775 0.7253  5 B 1.75-1.86
B: 0.1775 0.7253 0.1775  5 B 1.75-1.86
B: 0.2747 0.8225 0.8225  5 B 1.75-1.86
B: 0.0143 0.0143 0.3230  6 B 1.82-1.92
B: 0.9857 0.9857 0.6770  6 B 1.82-1.92
B: 0.9857 0.6770 0.9857  6 B 1.82-1.92
B: 0.8225 0.2747 0.8225  5 B 1.75-1.86
B: 0.7253 0.1775 0.1775  5 B 1.75-1.86
B: 0.6770 0.9857 0.9857  6 B 1.82-1.92
B: 0.8225 0.8225 0.2747  5 B 1.75-1.86
B: 0.0143 0.3230 0.0143  6 B 1.82-1.92
Si: 0.6749 0.6749 0.6749  3 B 2.01, 1 Si 2.18
Si: 0.5000 0.5000 0.5000  2 Si 2.18
Si: 0.3251 0.3251 0.3251  3 B 2.01, 1 Si 2.18

Theoretical density: 2559 kg/m³

Which is the most stable structure? b is the most stable.

a | Here is a relaxed SmSiB crystal from the Alexandria database. Energies are from PBE-GGA.

a b c (Å): 4.2867 3.5891 3.5891
angles (deg): 120.00 90.00 90.00
Closest atoms and distances in Å follow each position.
Element x y z (fractional)
Si: 0.1667 0.0000 0.0000  3 B 2.07
Sm: 0.6667 0.3333 0.6667  6 B 2.98, 6 Si 2.98
B: 0.1666 0.6667 0.3333  3 Si 2.07

Theoretical density: 6572 kg/m³

b | Here is a relaxed SmSiB crystal from the Alexandria database. Energies are from PBE-GGA.

a b c (Å): 4.2447 3.6124 6.3057
angles (deg): 90.00 90.00 90.00
Closest atoms and distances in Å follow each position.
Element x y z (fractional)
Si: 0.8116 0.2162 0.0081  1 B 2.08, 2 Si 2.29
Si: 0.8116 0.7162 0.7848  1 B 2.08, 2 Si 2.29
B: 0.8116 0.2162 0.3376  2 B 1.95, 1 Si 2.08
B: 0.8116 0.7162 0.4553  2 B 1.95, 1 Si 2.08
Sm: 0.3116 0.7162 0.1608  6 B 2.82-3.00, 4 Si 2.95
Sm: 0.3116 0.2162 0.6320  6 B 2.82-3.00, 4 Si 2.95

Theoretical density: 6501 kg/m³

c | Here is a relaxed SmSiB crystal from the Alexandria database. Energies are from PBE-GGA.

a b c (Å): 3.8938 3.8938 6.8631
angles (deg): 106.48 106.48 90.00
Closest atoms and distances in Å follow each position.
Element x y z (fractional)
B: 0.0830 0.5830 0.1661  3 Si 2.08-2.22
B: 0.8330 0.8330 0.6661  3 Si 2.08-2.22
Sm: 0.6688 0.1688 0.3376  6 B 2.84-2.96, 6 Si 2.90-2.93
Sm: 0.4188 0.4188 0.8376  6 B 2.84-2.96, 6 Si 2.90-2.93
Si: 0.2482 0.7482 0.4964  3 B 2.08-2.22
Si: 0.9982 0.9982 0.9964  3 B 2.08-2.22

Theoretical density: 6594 kg/m³

Which is the most stable structure? a is the most stable.

a | Here is a relaxed SiSnB crystal from the Alexandria database. Energies are from PBE-GGA.

a b c (Å): 3.4331 3.4331 5.2548
angles (deg): 90.00 90.00 120.00
Closest atoms and distances in Å follow each position.
Element x y z (fractional)
Sn: 0.6667 0.3333 0.0000  2 B 2.63
B: 0.6667 0.3333 0.5000  3 Si 1.98
Si: 0.3333 0.6667 0.5000  3 B 1.98

Theoretical density: 4879 kg/m³

b | Here is a relaxed SiSnB crystal from the Alexandria database. Energies are from PBE-GGA.

a b c (Å): 5.7767 3.4140 5.9150
angles (deg): 90.00 109.12 90.00
Closest atoms and distances in Å follow each position.
Element x y z (fractional)
B: 0.6840 0.0000 0.1424  3 Si 1.98
B: 0.6840 0.5000 0.6424  3 Si 1.98
Si: 0.7251 0.5000 0.3224  3 B 1.98
Si: 0.7251 0.0000 0.8224  3 B 1.98
Sn: 0.2482 0.0000 0.0012  1 B 2.38
Sn: 0.2482 0.5000 0.5012  1 B 2.38

Theoretical density: 4749 kg/m³

Which is the most stable structure? a is the most stable.

a | Here is a relaxed SiSnB crystal from the Alexandria database. Energies are from PBE-GGA.

a b c (Å): 6.0313 3.1478 6.1959
angles (deg): 90.00 112.88 90.00
Closest atoms and distances in Å follow each position.
Element x y z (fractional)
B: 0.0126 0.2500 0.5591  2 B 1.72
B: 0.9874 0.7500 0.4409  2 B 1.72
Si: 0.9239 0.2500 0.8422  1 B 2.02
Si: 0.0761 0.7500 0.1578  1 B 2.02
Sn: 0.5505 0.7500 0.2357  1 B 2.44, 1 Si 2.71
Sn: 0.4495 0.2500 0.7643  1 B 2.44, 1 Si 2.71

Theoretical density: 4830 kg/m³

b | Here is a relaxed SiSnB crystal from the Alexandria database. Energies are from PBE-GGA.

a b c (Å): 3.1096 5.9264 11.7449
angles (deg): 90.00 90.00 90.00
Closest atoms and distances in Å follow each position.
Element x y z (fractional)
B: 0.7500 0.9396 0.9904  2 B 1.71
B: 0.2500 0.4396 0.4904  2 B 1.71
B: 0.7500 0.5604 0.4904  2 B 1.71
B: 0.2500 0.0604 0.9904  2 B 1.71
Si: 0.7500 0.8387 0.5911  1 B 2.03
Si: 0.7500 0.6613 0.0911  1 B 2.03
Si: 0.2500 0.1613 0.5911  1 B 2.03
Si: 0.2500 0.3387 0.0911  1 B 2.03
Sn: 0.2500 0.2762 0.8160  1 B 2.42
Sn: 0.7500 0.7762 0.3160  1 B 2.42
Sn: 0.2500 0.2238 0.3160  1 B 2.42
Sn: 0.7500 0.7238 0.8160  1 B 2.42

Theoretical density: 4837 kg/m³

Which is the most stable structure? a is the most stable.

a | Here is a relaxed Si2SnB crystal from the Alexandria database. Energies are from PBE-GGA.

a b c (Å): 5.4008 5.4008 6.4202
angles (deg): 65.13 65.13 90.00
Closest atoms and distances in Å follow each position.
Element x y z (fractional)
Si: 0.3750 0.4682 0.7500  2 B 2.05
Si: 0.8750 0.7818 0.7500  2 B 2.05
Si: 0.5318 0.1250 0.2500  2 B 2.05
Si: 0.2182 0.6250 0.2500  2 B 2.05
Sn: 0.0000 0.0000 0.0000  4 Si 2.63
Sn: 0.7500 0.2500 0.5000  4 Si 2.63
B: 0.5000 0.5000 0.0000  4 Si 2.05
B: 0.2500 0.7500 0.5000  4 Si 2.05

Theoretical density: 4097 kg/m³

b | Here is a relaxed Si2SnB crystal from the Alexandria database. Energies are from PBE-GGA.

a b c (Å): 4.5316 4.5316 4.5316
angles (deg): 60.00 60.00 60.00
Closest atoms and distances in Å follow each position.
Element x y z (fractional)
Si: 0.2500 0.2500 0.2500  4 Sn 2.78, 4 B 2.78
Si: 0.7500 0.7500 0.7500  4 B 2.78, 4 Sn 2.78
Sn: 0.5000 0.5000 0.5000  8 Si 2.78
B: 0.0000 0.0000 0.0000  8 Si 2.78

Theoretical density: 4686 kg/m³

Which is the most stable structure? a is the most stable.

a | Here is a relaxed SiSnB3 crystal from the Alexandria database. Energies are from PBE-GGA.

a b c (Å): 4.4756 4.4756 4.4756
angles (deg): 90.00 90.00 90.00
Closest atoms and distances in Å follow each position.
Element x y z (fractional)
Si: 0.5000 0.5000 0.5000  12 B 3.16
B: 0.0000 0.5000 0.0000  2 Sn 2.24
B: 0.5000 0.0000 0.0000  2 Sn 2.24
B: 0.0000 0.0000 0.5000  2 Sn 2.24
Sn: 0.0000 0.0000 0.0000  6 B 2.24

Theoretical density: 3320 kg/m³

b | Here is a relaxed SiSnB3 crystal from the Alexandria database. Energies are from PBE-GGA.

a b c (Å): 4.0905 4.0905 4.0905
angles (deg): 90.00 90.00 90.00
Closest atoms and distances in Å follow each position.
Element x y z (fractional)
B: 0.5000 0.0000 0.0000  2 Si 2.05
B: 0.0000 0.0000 0.5000  2 Si 2.05
B: 0.0000 0.5000 0.0000  2 Si 2.05
Sn: 0.5000 0.5000 0.5000  12 B 2.89
Si: 0.0000 0.0000 0.0000  6 B 2.05

Theoretical density: 4348 kg/m³

Which is the most stable structure? b is the most stable.

a | Here is a relaxed SrSi3B crystal from the Alexandria database. Energies are from PBE-GGA.

a b c (Å): 4.4776 4.4776 4.4776
angles (deg): 90.00 90.00 90.00
Closest atoms and distances in Å follow each position.
Element x y z (fractional)
Si: 0.0000 0.5000 0.0000  2 B 2.24
Si: 0.0000 0.0000 0.5000  2 B 2.24
Si: 0.5000 0.0000 0.0000  2 B 2.24
B: 0.0000 0.0000 0.0000  6 Si 2.24
Sr: 0.5000 0.5000 0.5000  12 Si 3.17

Theoretical density: 3379 kg/m³

b | Here is a relaxed SrSi3B crystal from the Alexandria database. Energies are from PBE-GGA.

a b c (Å): 5.5444 5.5444 5.5444
angles (deg): 90.00 90.00 90.00
Closest atoms and distances in Å follow each position.
Element x y z (fractional)
Sr: 0.0000 0.0000 0.0000  6 Si 2.77
B: 0.5000 0.5000 0.5000  12 Si 3.92
Si: 0.5000 0.0000 0.0000  2 Sr 2.77
Si: 0.0000 0.5000 0.0000  2 Sr 2.77
Si: 0.0000 0.0000 0.5000  2 Sr 2.77

Theoretical density: 1780 kg/m³

Which is the most stable structure? a is the most stable.

a | Here is a relaxed SrSiB3 crystal from the Alexandria database. Energies are from PBE-GGA.

a b c (Å): 4.8579 4.8579 4.8579
angles (deg): 90.00 90.00 90.00
Closest atoms and distances in Å follow each position.
Element x y z (fractional)
Sr: 0.0000 0.0000 0.0000  6 B 2.43
B: 0.5000 0.0000 0.0000  2 Sr 2.43
B: 0.0000 0.5000 0.0000  2 Sr 2.43
B: 0.0000 0.0000 0.5000  2 Sr 2.43
Si: 0.5000 0.5000 0.5000  12 B 3.44

Theoretical density: 2146 kg/m³

b | Here is a relaxed SrSiB3 crystal from the Alexandria database. Energies are from PBE-GGA.

a b c (Å): 4.1419 4.1419 4.1419
angles (deg): 90.00 90.00 90.00
Closest atoms and distances in Å follow each position.
Element x y z (fractional)
Si: 0.0000 0.0000 0.0000  6 B 2.07
Sr: 0.5000 0.5000 0.5000  12 B 2.93
B: 0.0000 0.0000 0.5000  2 Si 2.07
B: 0.0000 0.5000 0.0000  2 Si 2.07
B: 0.5000 0.0000 0.0000  2 Si 2.07

Theoretical density: 3462 kg/m³

Which is the most stable structure? b is the most stable.